The following is a PBE calculation of a geometry-optimized EuY3 structure, from Alexandria via LeMat-Bulk.

a b c (Å): 5.7812 5.7812 5.7812
angles (deg): 60.00 60.00 60.00
Last column: magnetic moment on the atom in μB.
Fractional coordinates of all 4 atoms:
Y  0.0000  0.0000  0.0000  0.16
Y  0.2500  0.2500  0.2500  0.16
Y  0.7500  0.7500  0.7500  0.16
Eu  0.5000  0.5000  0.5000  6.88

Computed properties:
As for the formation energy: 0.1536 eV/atom. For the magnetic moment, the calculation gives 8.2 μB per formula unit. Its relative energy among the computed polymorphs is 0.092 eV/atom. As for the space group: Fm-3m. As for the calculated volume: 136.6 Å³ per cell. Its total DFT energy (no corrections) is -7.263 eV/atom.

***

The following is a PBE calculation of a geometry-optimized Pm4Y3Tm3 structure, from Alexandria via LeMat-Bulk.

a b c (Å): 3.7859 9.2907 9.2907
angles (deg): 89.97 90.00 90.00
Fractional coordinates of all 10 atoms:
Y  0.0000  0.5009  0.0006
Y  0.0000  0.9994  0.4991
Y  0.5000  0.1686  0.8314
Tm  0.5000  0.6687  0.6679
Tm  0.5000  0.3321  0.3313
Tm  0.5000  0.8315  0.1685
Pm  0.0000  0.8676  0.8704
Pm  0.0000  0.3711  0.6289
Pm  0.0000  0.1296  0.1324
Pm  0.0000  0.6307  0.3693

Computed properties:
As for the formation energy: 0.0843 eV/atom. For the magnetic moment, the calculation gives 0.0 μB per formula unit. As for the space group: Amm2. As for the calculated volume: 326.8 Å³ per cell. Its total DFT energy (no corrections) is -5.097 eV/atom.

***

The following is a PBE calculation of a geometry-optimized La2TaGe4Rh3 structure, from Alexandria via LeMat-Bulk.

a b c (Å): 4.2498 4.2498 10.8237
angles (deg): 90.00 90.00 90.00
Fractional coordinates of all 10 atoms:
Rh  0.0000  0.5000  0.1214
Rh  0.5000  0.0000  0.8786
Rh  0.0000  0.0000  0.5000
Ge  0.5000  0.5000  0.0000
Ge  0.0000  0.0000  0.0000
Ge  0.5000  0.0000  0.6452
Ge  0.0000  0.5000  0.3548
Ta  0.5000  0.5000  0.5000
La  0.0000  0.5000  0.7620
La  0.5000  0.0000  0.2380

Computed properties:
As for the formation energy: -0.7471 eV/atom. For the magnetic moment, the calculation gives 0.0 μB per formula unit. As for the space group: P-4m2. As for the calculated volume: 195.5 Å³ per cell. Its total DFT energy (no corrections) is -6.970 eV/atom.

***

The following is a PBE calculation of a geometry-optimized Ce3OsPd structure, from Alexandria via LeMat-Bulk.

a b c (Å): 4.6567 8.4665 9.3184
angles (deg): 130.38 75.51 123.38
Last column: magnetic moment on the atom in μB.
Fractional coordinates of all 10 atoms:
Ce  0.7803  0.8174  0.5746  0.10
Ce  0.2197  0.1826  0.4254  0.10
Ce  0.3228  0.7344  0.3232  0.04
Ce  0.5429  0.7796  0.9732  0.16
Ce  0.6772  0.2656  0.6768  0.04
Ce  0.4571  0.2204  0.0268  0.16
Os  0.8741  0.6818  0.1152  -0.02
Os  0.1259  0.3182  0.8848  -0.02
Pd  0.0966  0.6966  0.7005  0.00
Pd  0.9034  0.3034  0.2995  0.00

Computed properties:
As for the formation energy: -0.3470 eV/atom. For the magnetic moment, the calculation gives 0.4 μB per formula unit. As for the space group: C2/m. As for the calculated volume: 230.4 Å³ per cell. Its total DFT energy (no corrections) is -7.192 eV/atom.

***

The following is a PBE calculation of a geometry-optimized NaInN3 structure, from Alexandria via LeMat-Bulk.

a b c (Å): 4.3350 4.3350 4.3350
angles (deg): 90.00 90.00 90.00
Last column: magnetic moment on the atom in μB.
Fractional coordinates of all 5 atoms:
N  0.0000  0.0000  0.5000  1.04
N  0.5000  0.0000  0.0000  1.22
N  0.0000  0.5000  0.0000  1.18
In  0.0000  0.0000  0.0000  0.03
Na  0.5000  0.5000  0.5000  -0.01

Computed properties:
For the magnetic moment, the calculation gives 5.0 μB per formula unit. As for the space group: Pm-3m. As for the calculated volume: 81.5 Å³ per cell. Its total DFT energy (no corrections) is -4.197 eV/atom.

***

The following is a PBE calculation of a geometry-optimized Li2Si2Pt structure, from Alexandria via LeMat-Bulk.

a b c (Å): 3.4575 3.4575 6.5703
angles (deg): 74.74 74.74 90.00
Fractional coordinates of all 5 atoms:
Li  0.7500  0.2500  0.5000
Li  0.2500  0.7500  0.5000
Si  0.4063  0.4063  0.1874
Si  0.5937  0.5937  0.8126
Pt  0.0000  0.0000  0.0000

Computed properties:
For the magnetic moment, the calculation gives 0.0 μB per formula unit. As for the space group: I4/mmm. As for the calculated volume: 72.9 Å³ per cell. Its total DFT energy (no corrections) is -4.276 eV/atom.

***

The following is a PBE calculation of a geometry-optimized TbTlPbI6 structure, from Alexandria via LeMat-Bulk.

a b c (Å): 8.1008 8.1008 15.2208
angles (deg): 90.00 90.00 120.00
Fractional coordinates of all 18 atoms:
I  0.3703  0.3524  0.3678
I  0.3524  0.9821  0.6322
I  0.6297  0.6476  0.6322
I  0.6297  0.9821  0.8678
I  0.0179  0.6476  0.8678
I  0.6476  0.6297  0.1322
I  0.3703  0.0179  0.1322
I  0.9821  0.3524  0.1322
I  0.3524  0.3703  0.8678
I  0.0179  0.3703  0.6322
I  0.9821  0.6297  0.3678
I  0.6476  0.0179  0.3678
Tb  0.6667  0.3333  0.2500
Tb  0.3333  0.6667  0.7500
Tl  0.0000  0.0000  0.0000
Tl  0.0000  0.0000  0.5000
Pb  0.6667  0.3333  0.7500
Pb  0.3333  0.6667  0.2500

Computed properties:
For the magnetic moment, the calculation gives 0.0 μB per formula unit. As for the space group: P-31c. As for the calculated volume: 865.0 Å³ per cell. Its total DFT energy (no corrections) is -3.209 eV/atom.

***

The following is a PBE calculation of a geometry-optimized La4Er4Th structure, from Alexandria via LeMat-Bulk.

a b c (Å): 5.1126 8.1016 8.1016
angles (deg): 84.29 71.61 71.61
Fractional coordinates of all 9 atoms:
Th  0.5000  0.5000  0.0000
Er  0.8384  0.5000  0.3232
Er  0.8384  0.8232  0.0000
Er  0.1616  0.1768  0.0000
Er  0.1616  0.5000  0.6768
La  0.1721  0.8280  0.3279
La  0.8279  0.1720  0.6721
La  0.5000  0.8279  0.6720
La  0.5000  0.1721  0.3280

Computed properties:
As for the formation energy: 0.0355 eV/atom. For the magnetic moment, the calculation gives 0.0 μB per formula unit. As for the space group: I4/mmm. As for the calculated volume: 302.2 Å³ per cell. Its total DFT energy (no corrections) is -5.007 eV/atom.